Material: TaAlCo2Ag
Method: DFT, GGA-PBE
State: optimized geometry

The structure in POSCAR format:
```
TaAlCo2Ag
1.0
4.2764 0.0000 0.0000
0.0000 4.2764 0.0000
0.0000 0.0000 4.8122
Ta Al Co Ag
1 1 2 1
direct
0.0000 0.0000 0.0000
0.0000 0.0000 0.5000
0.0000 0.5000 0.5000
0.5000 0.0000 0.5000
0.5000 0.5000 0.0000
```

Summary:
Magnetization (μB/f.u.): 3.13
Crystal system: tetragonal
V (Å³/cell): 88.00
ΔE_f (kJ/mol of formula units): 567
E (eV per atom): -5.355
DOS at the Fermi energy (states/eV per cell): 6.1

=====

Material: LiCeEr4S8
Method: DFT, GGA-PBE
State: optimized geometry

The structure in POSCAR format:
```
LiCeEr4S8
1.0
3.9737 2.2942 6.6459
-3.9737 2.2942 6.6459
0.0000 -4.5885 6.6459
Li Ce Er S
1 1 4 8
direct
0.0000 0.0000 0.0000
0.3721 0.3721 0.3721
0.3706 0.3706 0.8894
0.3706 0.8894 0.3706
0.7487 0.7487 0.7487
0.8894 0.3706 0.3707
0.1269 0.1269 0.6064
0.1269 0.6064 0.1269
0.1331 0.1331 0.1331
0.1466 0.6242 0.6242
0.6064 0.1269 0.1269
0.6167 0.6167 0.6167
0.6242 0.1466 0.6242
0.6242 0.6242 0.1466
```

Summary:
Magnetization (μB/f.u.): 0.99
Crystal system: trigonal
V (Å³/cell): 363.53
E (eV per atom): -6.157
DOS at the Fermi energy (states/eV per cell): 5.9

=====

Material: Li2Cu2F5
Method: DFT, GGA-PBE
State: optimized geometry

The structure in POSCAR format:
```
Li2Cu2F5
1.0
3.8650 -4.0342 0.0000
3.8650 4.0342 0.0000
-2.3746 0.0000 6.8921
Li Cu F
4 4 10
direct
0.2228 0.7608 0.9792
0.2392 0.7772 0.5208
0.7608 0.2228 0.4792
0.7772 0.2392 0.0208
0.2942 0.3095 0.1171
0.3095 0.2942 0.6171
0.6905 0.7058 0.3829
0.7058 0.6905 0.8829
0.0000 0.0000 0.0000
0.0000 0.0000 0.5000
0.0000 0.5000 0.0000
0.2235 0.4294 0.3778
0.3336 0.6664 0.7500
0.4294 0.2235 0.8778
0.5000 0.0000 0.5000
0.5706 0.7765 0.1222
0.6664 0.3336 0.2500
0.7765 0.5706 0.6222
```

Summary:
Magnetization (μB/f.u.): 1.00
Crystal system: monoclinic
V (Å³/cell): 214.93
E (eV per atom): -4.373
DOS at the Fermi energy (states/eV per cell): 5.9
ΔE to the lowest computed polymorph (meV/atom): 39

=====

Material: Tm2RuS
Method: DFT, GGA-PBE
State: optimized geometry

The structure in POSCAR format:
```
Tm2RuS
1.0
1.8015 1.0401 7.4120
-1.8015 1.0401 7.4120
0.0000 -2.0802 7.4120
Tm Ru S
2 1 1
direct
0.2489 0.2489 0.2489
0.7511 0.7511 0.7511
0.0000 0.0000 0.0000
0.5000 0.5000 0.5000
```

Summary:
Magnetization (μB/f.u.): 0.00
Crystal system: trigonal
V (Å³/cell): 83.33
E (eV per atom): -6.608
DOS at the Fermi energy (states/eV per cell): 2.6
ΔE to the lowest computed polymorph (meV/atom): 38

=====

Mass density readings, ordered: 8.18 4.90 3.65 9.39 g/cm3